<A>
Computed, not measured: a relaxed SnSbTe2H crystal at the PBE level of DFT. Values from VASP.

Cell and atoms, written as Quantum ESPRESSO input:
```
&SYSTEM
  ibrav = 0, nat = 5, ntyp = 4
/
ATOMIC_SPECIES
Te 127.60 Te.upf
H 1.01 H.upf
Sb 121.76 Sb.upf
Sn 118.71 Sn.upf
CELL_PARAMETERS angstrom
-2.128 4.517 2.979
-5.066 -2.788 0.610
1.874 -2.337 4.883
ATOMIC_POSITIONS angstrom
Te -1.064 2.259 1.489
Te -2.533 -1.394 0.305
H -2.660 -0.304 4.236
Sb 0.937 -1.168 2.441
Sn 0.000 0.000 0.000
```

Values from the calculation:
As for the magnetization: 0.10 μB per atom.

---

<B>
Computed, not measured: a relaxed SnSbTe2H crystal at the PBE level of DFT. Values from VASP.

Cell and atoms, written as Quantum ESPRESSO input:
```
&SYSTEM
  ibrav = 0, nat = 5, ntyp = 4
/
ATOMIC_SPECIES
H 1.01 H.upf
Sn 118.71 Sn.upf
Te 127.60 Te.upf
Sb 121.76 Sb.upf
CELL_PARAMETERS angstrom
-1.880 4.095 -3.280
-2.158 -3.779 -3.481
-3.345 0.067 2.001
ATOMIC_POSITIONS angstrom
H 0.000 0.000 0.000
Sn -3.691 0.192 -2.380
Te -1.079 -1.889 -1.741
Te -0.940 2.047 -1.640
Sb -1.672 0.034 1.000
```

Values from the calculation:
As for the magnetization: 0.00 μB per atom.

---

Quick ranking, most stable first: <B>, <A>.

---

<A>
Computed, not measured: a relaxed SnSb2TeH crystal at the PBE level of DFT. Values from VASP.

Cell and atoms, written as Quantum ESPRESSO input:
```
&SYSTEM
  ibrav = 0, nat = 5, ntyp = 4
/
ATOMIC_SPECIES
Sb 121.76 Sb.upf
H 1.01 H.upf
Sn 118.71 Sn.upf
Te 127.60 Te.upf
CELL_PARAMETERS angstrom
4.517 0.000 0.000
0.000 4.517 0.000
0.000 0.000 5.897
ATOMIC_POSITIONS angstrom
Sb 0.000 2.259 0.000
Sb 2.259 0.000 0.000
H 0.000 0.000 0.000
Sn 2.259 2.259 2.948
Te 0.000 0.000 2.948
```

Values from the calculation:
As for the magnetization: 0.00 μB per atom.

---

<B>
Computed, not measured: a relaxed SnSb2TeH crystal at the PBE level of DFT. Values from VASP.

Cell and atoms, written as Quantum ESPRESSO input:
```
&SYSTEM
  ibrav = 0, nat = 5, ntyp = 4
/
ATOMIC_SPECIES
Te 127.60 Te.upf
Sn 118.71 Sn.upf
Sb 121.76 Sb.upf
H 1.01 H.upf
CELL_PARAMETERS angstrom
-2.098 5.221 -1.131
-4.230 -0.882 3.777
3.315 2.250 4.238
ATOMIC_POSITIONS angstrom
Te 1.658 1.125 2.119
Sn 0.000 0.000 0.000
Sb -1.049 2.610 -0.565
Sb -2.115 -0.441 1.889
H -1.506 3.294 3.442
```

Values from the calculation:
As for the magnetization: 0.09 μB per atom.

---

Quick ranking, most stable first: <A>, <B>.

---

<A>
Computed, not measured: a relaxed Sr3SbH2 crystal at the PBE level of DFT. Values from VASP.

Cell and atoms, written as Quantum ESPRESSO input:
```
&SYSTEM
  ibrav = 0, nat = 12, ntyp = 3
/
ATOMIC_SPECIES
H 1.01 H.upf
Sb 121.76 Sb.upf
Sr 87.62 Sr.upf
CELL_PARAMETERS angstrom
-1.614 0.814 5.132
-6.234 -4.419 -1.259
5.142 -5.247 2.449
ATOMIC_POSITIONS angstrom
H -0.970 -1.041 2.744
H -0.163 -1.447 0.178
H -1.735 -7.812 3.577
H -0.928 -8.219 1.011
Sb -3.916 -4.066 3.740
Sb 1.211 -4.787 2.582
Sr -2.474 -6.520 1.698
Sr -0.680 -6.302 5.112
Sr -5.352 -4.309 0.443
Sr -2.026 -2.551 1.210
Sr 2.646 -4.543 5.879
Sr -0.231 -2.333 4.623
```

Values from the calculation:
As for the magnetization: 0.10 μB per atom.

---

<B>
Computed, not measured: a relaxed Sr3SbH2 crystal at the PBE level of DFT. Values from VASP.

Cell and atoms, written as Quantum ESPRESSO input:
```
&SYSTEM
  ibrav = 0, nat = 12, ntyp = 3
/
ATOMIC_SPECIES
Sb 121.76 Sb.upf
H 1.01 H.upf
Sr 87.62 Sr.upf
CELL_PARAMETERS angstrom
4.570 0.000 0.000
0.000 6.597 -0.621
-2.285 -2.480 11.890
ATOMIC_POSITIONS angstrom
Sb 2.285 5.103 2.973
Sb 0.000 -0.986 8.297
H 2.285 2.942 9.928
H 0.000 1.174 1.342
H 2.285 1.674 4.724
H 0.000 2.442 6.546
Sr 0.000 5.197 0.668
Sr 2.285 -1.080 10.602
Sr 2.285 1.785 2.240
Sr 2.285 3.760 5.995
Sr 0.000 0.357 5.274
Sr 0.000 2.332 9.030
```

Values from the calculation:
As for the magnetization: 0.17 μB per atom.

---

Quick ranking, most stable first: <A>, <B>.

---

<A>
Computed, not measured: a relaxed SrSb2H crystal at the PBE level of DFT. Values from VASP.

Cell and atoms, written as Quantum ESPRESSO input:
```
&SYSTEM
  ibrav = 0, nat = 4, ntyp = 3
/
ATOMIC_SPECIES
Sb 121.76 Sb.upf
Sr 87.62 Sr.upf
H 1.01 H.upf
CELL_PARAMETERS angstrom
0.000 3.780 3.780
3.780 0.000 3.780
3.780 3.780 0.000
ATOMIC_POSITIONS angstrom
Sb 5.669 5.669 5.669
Sb 1.890 1.890 1.890
Sr 3.780 3.780 3.780
H 0.000 0.000 0.000
```

Values from the calculation:
As for the magnetization: 0.18 μB per atom.

---

<B>
Computed, not measured: a relaxed SrSb2H crystal at the PBE level of DFT. Values from VASP.

Cell and atoms, written as Quantum ESPRESSO input:
```
&SYSTEM
  ibrav = 0, nat = 8, ntyp = 3
/
ATOMIC_SPECIES
Sb 121.76 Sb.upf
Sr 87.62 Sr.upf
H 1.01 H.upf
CELL_PARAMETERS angstrom
-2.458 2.959 -6.181
3.477 -5.120 -3.833
-2.598 -3.315 -4.841
ATOMIC_POSITIONS angstrom
Sb -0.871 -0.679 -3.341
Sb 0.337 -2.600 -6.591
Sb -2.301 -2.546 -11.022
Sb -0.321 -5.130 -8.759
Sr 0.000 0.000 0.000
Sr -2.273 -0.719 -8.015
H 0.695 -4.758 -6.841
H 0.510 -1.081 -5.007
```

Values from the calculation:
As for the magnetization: 0.00 μB per atom.

---

Quick ranking, most stable first: <B>, <A>.

---

<A>
Computed, not measured: a relaxed SrSbTe2H crystal at the PBE level of DFT. Values from VASP.

Cell and atoms, written as Quantum ESPRESSO input:
```
&SYSTEM
  ibrav = 0, nat = 5, ntyp = 4
/
ATOMIC_SPECIES
Te 127.60 Te.upf
H 1.01 H.upf
Sb 121.76 Sb.upf
Sr 87.62 Sr.upf
CELL_PARAMETERS angstrom
-2.482 1.176 5.572
-3.304 -5.248 -0.364
4.684 -3.140 2.749
ATOMIC_POSITIONS angstrom
Te -1.652 -2.624 -0.182
Te -1.241 0.588 2.786
H -0.551 -3.606 3.979
Sb 2.342 -1.570 1.374
Sr 0.000 0.000 0.000
```

Values from the calculation:
As for the magnetization: 0.32 μB per atom.

---

<B>
Computed, not measured: a relaxed SrSbTe2H crystal at the PBE level of DFT. Values from VASP.

Cell and atoms, written as Quantum ESPRESSO input:
```
&SYSTEM
  ibrav = 0, nat = 5, ntyp = 4
/
ATOMIC_SPECIES
Sr 87.62 Sr.upf
Sb 121.76 Sb.upf
Te 127.60 Te.upf
H 1.01 H.upf
CELL_PARAMETERS angstrom
5.657 0.000 0.000
0.000 5.657 0.000
0.000 0.000 4.030
ATOMIC_POSITIONS angstrom
Sr 2.828 2.828 2.015
Sb 0.000 0.000 2.015
Te 2.828 0.000 0.000
Te 0.000 2.828 0.000
H 0.000 0.000 0.000
```

Values from the calculation:
As for the magnetization: 0.00 μB per atom.

---

Quick ranking, most stable first: <B>, <A>.

---

<A>
Computed, not measured: a relaxed TaSb2H2 crystal at the PBE level of DFT. Values from VASP.

Cell and atoms, written as Quantum ESPRESSO input:
```
&SYSTEM
  ibrav = 0, nat = 10, ntyp = 3
/
ATOMIC_SPECIES
Sb 121.76 Sb.upf
Ta 180.95 Ta.upf
H 1.01 H.upf
CELL_PARAMETERS angstrom
-3.122 1.029 -5.628
1.336 -6.103 -1.857
-2.914 -1.070 1.421
ATOMIC_POSITIONS angstrom
Sb -2.323 -1.132 -1.516
Sb -2.377 -5.012 -4.549
Sb -3.632 -1.766 -4.680
Sb -1.067 -4.377 -1.385
Ta -0.893 -2.537 -3.743
Ta 0.000 0.000 0.000
H 0.099 -4.668 -3.313
H -1.885 -0.406 -4.172
H -1.645 -3.316 -5.872
H -0.141 -1.757 -1.613
```

Values from the calculation:
As for the magnetization: 0.00 μB per atom.

---

<B>
Computed, not measured: a relaxed TaSb2H2 crystal at the PBE level of DFT. Values from VASP.

Cell and atoms, written as Quantum ESPRESSO input:
```
&SYSTEM
  ibrav = 0, nat = 5, ntyp = 3
/
ATOMIC_SPECIES
Ta 180.95 Ta.upf
Sb 121.76 Sb.upf
H 1.01 H.upf
CELL_PARAMETERS angstrom
-3.079 3.759 -1.593
1.187 -1.085 -4.854
-3.323 -0.666 -3.358
ATOMIC_POSITIONS angstrom
Ta 0.000 0.000 0.000
Sb -3.674 2.215 -4.087
Sb -1.541 -0.207 -5.718
H -3.966 0.926 -6.564
H -1.249 1.082 -3.241
```

Values from the calculation:
As for the magnetization: 0.15 μB per atom.

---

Quick ranking, most stable first: <B>, <A>.